The following is a PBE calculation of a geometry-optimized Ac7Mg2Ag2 structure, from Alexandria.

Properties
* total magnetization: 0.0 μB per formula unit
* DOS(E_F): 14.0 states/eV per cell
* ΔE_f: 0.0907 eV/atom
* uncorrected energy: -3.332 eV/atom
* space-group type: Cmmm (65)

Unit cell a=7.5417 b=7.5417 c=8.1928 alpha=90.00 beta=90.00 gamma=110.45
Element x y z (fractional)
Ac 0.0000 0.0000 0.0000
Ac 0.0000 0.5000 0.2737
Ac 0.0000 0.5000 0.7263
Ac 0.5000 0.0000 0.2737
Ac 0.5000 0.0000 0.7263
Ac 0.5000 0.5000 0.2492
Ac 0.5000 0.5000 0.7508
Mg 0.1670 0.1670 0.5000
Mg 0.8330 0.8330 0.5000
Ag 0.2902 0.7098 0.0000
Ag 0.7098 0.2902 0.0000